Arrangement P

A plane-wave DFT calculation with GGA-PBEsol was carried out for a relaxed structure of BaTaCl2.

Density, g/cm3: 6.330
Space-group type: Fm-3m, No. 225
V, Å³/atom: 25.52

Structure (CIF):
```
data_BaTaCl2
_symmetry_space_group_name_H-M 'P 1'
_symmetry_Int_Tables_number 1
_symmetry_space_group_name_Hall 'P 1'
_cell_length_a 5.2462
_cell_length_b 5.2462
_cell_length_c 5.2462
_cell_angle_alpha 60.00
_cell_angle_beta 60.00
_cell_angle_gamma 60.00
loop_
_atom_site_label
_atom_site_fract_x
_atom_site_fract_y
_atom_site_fract_z
Cl1 0.2500 0.2500 0.2500
Cl2 0.7500 0.7500 0.7500
Ba1 0.0000 0.0000 0.0000
Ta1 0.5000 0.5000 0.5000
```



Arrangement Q

A plane-wave DFT calculation with GGA-PBEsol was carried out for a relaxed structure of BaTaCl2.

Density, g/cm3: 5.855
Space-group type: I-42d, No. 122
V, Å³/atom: 27.59

Structure (CIF):
```
data_BaTaCl2
_symmetry_space_group_name_H-M 'P 1'
_symmetry_Int_Tables_number 1
_symmetry_space_group_name_Hall 'P 1'
_cell_length_a 5.4360
_cell_length_b 5.4360
_cell_length_c 8.4014
_cell_angle_alpha 108.88
_cell_angle_beta 108.88
_cell_angle_gamma 90.00
loop_
_atom_site_label
_atom_site_fract_x
_atom_site_fract_y
_atom_site_fract_z
Cl1 0.2416 0.8750 0.2500
Cl2 0.0084 0.3750 0.2500
Cl3 0.1250 0.9916 0.7500
Cl4 0.6250 0.7584 0.7500
Ba1 0.7500 0.2500 0.5000
Ba2 0.5000 0.5000 0.0000
Ta1 0.2500 0.7500 0.5000
Ta2 0.0000 0.0000 0.0000
```



Name the most stable of them. arrangement Q.



Arrangement P

A plane-wave DFT calculation with GGA-PBEsol was carried out for a relaxed structure of BaTaCl2.

Density, g/cm3: 6.723
Space-group type: Immm, No. 71
V, Å³/atom: 24.03

Structure (CIF):
```
data_BaTaCl2
_symmetry_space_group_name_H-M 'P 1'
_symmetry_Int_Tables_number 1
_symmetry_space_group_name_Hall 'P 1'
_cell_length_a 3.2687
_cell_length_b 6.0692
_cell_length_c 5.9464
_cell_angle_alpha 120.69
_cell_angle_beta 105.95
_cell_angle_gamma 90.00
loop_
_atom_site_label
_atom_site_fract_x
_atom_site_fract_y
_atom_site_fract_z
Cl1 0.8056 0.8056 0.6112
Cl2 0.1944 0.1944 0.3888
Ba1 0.0000 0.5000 0.0000
Ta1 0.5000 0.0000 0.0000
```



Arrangement Q

A plane-wave DFT calculation with GGA-PBEsol was carried out for a relaxed structure of BaTaCl2.

Density, g/cm3: 6.149
Space-group type: I-4m2, No. 119
V, Å³/atom: 26.27

Structure (CIF):
```
data_BaTaCl2
_symmetry_space_group_name_H-M 'P 1'
_symmetry_Int_Tables_number 1
_symmetry_space_group_name_Hall 'P 1'
_cell_length_a 4.1874
_cell_length_b 4.1874
_cell_length_c 6.6854
_cell_angle_alpha 108.25
_cell_angle_beta 108.25
_cell_angle_gamma 90.00
loop_
_atom_site_label
_atom_site_fract_x
_atom_site_fract_y
_atom_site_fract_z
Cl1 0.0000 0.0000 0.0000
Cl2 0.7500 0.2500 0.5000
Ba1 0.2500 0.7500 0.5000
Ta1 0.5000 0.5000 0.0000
```



Name the most stable of them. arrangement P.



Arrangement P

A plane-wave DFT calculation with GGA-PBEsol was carried out for a relaxed structure of BaTaCl.

Density, g/cm3: 5.040
Space-group type: F-43m, No. 216
V, Å³/atom: 38.85

Structure (CIF):
```
data_BaTaCl
_symmetry_space_group_name_H-M 'P 1'
_symmetry_Int_Tables_number 1
_symmetry_space_group_name_Hall 'P 1'
_cell_length_a 5.4827
_cell_length_b 5.4827
_cell_length_c 5.4827
_cell_angle_alpha 60.00
_cell_angle_beta 60.00
_cell_angle_gamma 60.00
loop_
_atom_site_label
_atom_site_fract_x
_atom_site_fract_y
_atom_site_fract_z
Cl1 0.0000 0.0000 0.0000
Ba1 0.2500 0.2500 0.2500
Ta1 0.5000 0.5000 0.5000
```



Arrangement Q

A plane-wave DFT calculation with GGA-PBEsol was carried out for a relaxed structure of BaTaCl.

Density, g/cm3: 6.529
Space-group type: F-43m, No. 216
V, Å³/atom: 29.99

Structure (CIF):
```
data_BaTaCl
_symmetry_space_group_name_H-M 'P 1'
_symmetry_Int_Tables_number 1
_symmetry_space_group_name_Hall 'P 1'
_cell_length_a 5.0295
_cell_length_b 5.0295
_cell_length_c 5.0295
_cell_angle_alpha 60.00
_cell_angle_beta 60.00
_cell_angle_gamma 60.00
loop_
_atom_site_label
_atom_site_fract_x
_atom_site_fract_y
_atom_site_fract_z
Cl1 0.2500 0.2500 0.2500
Ba1 0.5000 0.5000 0.5000
Ta1 0.0000 0.0000 0.0000
```



Name the most stable of them. arrangement Q.



Arrangement P

A plane-wave DFT calculation with GGA-PBEsol was carried out for a relaxed structure of Ba2TcCl.

Density, g/cm3: 6.038
Space-group type: F-43m, No. 216
V, Å³/atom: 28.06

Structure (CIF):
```
data_Ba2TcCl
_symmetry_space_group_name_H-M 'P 1'
_symmetry_Int_Tables_number 1
_symmetry_space_group_name_Hall 'P 1'
_cell_length_a 5.4143
_cell_length_b 5.4143
_cell_length_c 5.4143
_cell_angle_alpha 60.00
_cell_angle_beta 60.00
_cell_angle_gamma 60.00
loop_
_atom_site_label
_atom_site_fract_x
_atom_site_fract_y
_atom_site_fract_z
Cl1 0.5000 0.5000 0.5000
Ba1 0.0000 0.0000 0.0000
Ba2 0.7500 0.7500 0.7500
Tc1 0.2500 0.2500 0.2500
```



Arrangement Q

A plane-wave DFT calculation with GGA-PBEsol was carried out for a relaxed structure of Ba2TcCl.

Density, g/cm3: 5.653
Space-group type: P4/mmm, No. 123
V, Å³/atom: 29.97

Structure (CIF):
```
data_Ba2TcCl
_symmetry_space_group_name_H-M 'P 1'
_symmetry_Int_Tables_number 1
_symmetry_space_group_name_Hall 'P 1'
_cell_length_a 4.4507
_cell_length_b 4.4507
_cell_length_c 6.0517
_cell_angle_alpha 90.00
_cell_angle_beta 90.00
_cell_angle_gamma 90.00
loop_
_atom_site_label
_atom_site_fract_x
_atom_site_fract_y
_atom_site_fract_z
Cl1 0.0000 0.0000 0.0000
Ba1 0.0000 0.0000 0.5000
Ba2 0.5000 0.5000 0.0000
Tc1 0.5000 0.5000 0.5000
```



Name the most stable of them. arrangement Q.



Arrangement P

A plane-wave DFT calculation with GGA-PBEsol was carried out for a relaxed structure of BaTc2Cl.

Density, g/cm3: 7.429
Space-group type: P4mm, No. 99
V, Å³/atom: 20.61

Structure (CIF):
```
data_BaTc2Cl
_symmetry_space_group_name_H-M 'P 1'
_symmetry_Int_Tables_number 1
_symmetry_space_group_name_Hall 'P 1'
_cell_length_a 3.1761
_cell_length_b 3.1761
_cell_length_c 8.1708
_cell_angle_alpha 90.00
_cell_angle_beta 90.00
_cell_angle_gamma 90.00
loop_
_atom_site_label
_atom_site_fract_x
_atom_site_fract_y
_atom_site_fract_z
Cl1 0.5000 0.5000 0.7638
Ba1 0.0000 0.0000 0.5015
Tc1 0.0000 0.0000 0.0462
Tc2 0.5000 0.5000 0.1885
```



Arrangement Q

A plane-wave DFT calculation with GGA-PBEsol was carried out for a relaxed structure of BaTc2Cl.

Density, g/cm3: 6.692
Space-group type: P2/m, No. 10
V, Å³/atom: 22.88

Structure (CIF):
```
data_BaTc2Cl
_symmetry_space_group_name_H-M 'P 1'
_symmetry_Int_Tables_number 1
_symmetry_space_group_name_Hall 'P 1'
_cell_length_a 3.2579
_cell_length_b 4.3912
_cell_length_c 6.3962
_cell_angle_alpha 90.07
_cell_angle_beta 90.00
_cell_angle_gamma 90.00
loop_
_atom_site_label
_atom_site_fract_x
_atom_site_fract_y
_atom_site_fract_z
Cl1 0.0000 0.5000 0.5000
Ba1 0.5000 0.0000 0.5000
Tc1 0.0000 0.0000 0.0000
Tc2 0.5000 0.5000 0.0000
```



Name the most stable of them. arrangement P.



Arrangement P

A plane-wave DFT calculation with GGA-PBEsol was carried out for a relaxed structure of Ba2TlCl.

Density, g/cm3: 5.657
Space-group type: P4/mmm, No. 123
V, Å³/atom: 37.76

Structure (CIF):
```
data_Ba2TlCl
_symmetry_space_group_name_H-M 'P 1'
_symmetry_Int_Tables_number 1
_symmetry_space_group_name_Hall 'P 1'
_cell_length_a 4.0100
_cell_length_b 6.1371
_cell_length_c 6.1371
_cell_angle_alpha 90.00
_cell_angle_beta 90.00
_cell_angle_gamma 90.00
loop_
_atom_site_label
_atom_site_fract_x
_atom_site_fract_y
_atom_site_fract_z
Tl1 0.5000 0.0000 0.0000
Ba1 0.9998 0.5000 0.0000
Ba2 0.0002 0.0000 0.5000
Cl1 0.0000 0.5000 0.5000
```



Arrangement Q

A plane-wave DFT calculation with GGA-PBEsol was carried out for a relaxed structure of Ba2TlCl.

Density, g/cm3: 5.836
Space-group type: Amm2, No. 38
V, Å³/atom: 36.60

Structure (CIF):
```
data_Ba2TlCl
_symmetry_space_group_name_H-M 'P 1'
_symmetry_Int_Tables_number 1
_symmetry_space_group_name_Hall 'P 1'
_cell_length_a 4.0193
_cell_length_b 5.4178
_cell_length_c 7.0171
_cell_angle_alpha 90.00
_cell_angle_beta 106.64
_cell_angle_gamma 90.00
loop_
_atom_site_label
_atom_site_fract_x
_atom_site_fract_y
_atom_site_fract_z
Tl1 0.2627 0.0000 0.5253
Ba1 0.9940 0.0000 0.9880
Ba2 0.7362 0.5000 0.4724
Cl1 0.5071 0.5000 0.0142
```



Name the most stable of them. arrangement P.



Arrangement P

A plane-wave DFT calculation with GGA-PBEsol was carried out for a relaxed structure of Ba3YCl.

Density, g/cm3: 4.054
Space-group type: Pm-3m, No. 221
V, Å³/atom: 43.94

Structure (CIF):
```
data_Ba3YCl
_symmetry_space_group_name_H-M 'P 1'
_symmetry_Int_Tables_number 1
_symmetry_space_group_name_Hall 'P 1'
_cell_length_a 6.0340
_cell_length_b 6.0340
_cell_length_c 6.0340
_cell_angle_alpha 90.00
_cell_angle_beta 90.00
_cell_angle_gamma 90.00
loop_
_atom_site_label
_atom_site_fract_x
_atom_site_fract_y
_atom_site_fract_z
Y1 0.5000 0.5000 0.5000
Ba1 0.0000 0.5000 0.0000
Ba2 0.0000 0.0000 0.5000
Ba3 0.5000 0.0000 0.0000
Cl1 0.0000 0.0000 0.0000
```



Arrangement Q

A plane-wave DFT calculation with GGA-PBEsol was carried out for a relaxed structure of Ba3YCl.

Density, g/cm3: 3.478
Space-group type: Pm-3m, No. 221
V, Å³/atom: 51.21

Structure (CIF):
```
data_Ba3YCl
_symmetry_space_group_name_H-M 'P 1'
_symmetry_Int_Tables_number 1
_symmetry_space_group_name_Hall 'P 1'
_cell_length_a 6.3501
_cell_length_b 6.3501
_cell_length_c 6.3501
_cell_angle_alpha 90.00
_cell_angle_beta 90.00
_cell_angle_gamma 90.00
loop_
_atom_site_label
_atom_site_fract_x
_atom_site_fract_y
_atom_site_fract_z
Y1 0.0000 0.0000 0.0000
Ba1 0.0000 0.5000 0.0000
Ba2 0.0000 0.0000 0.5000
Ba3 0.5000 0.0000 0.0000
Cl1 0.5000 0.5000 0.5000
```



Name the most stable of them. arrangement P.